No. 1
First-principles (PBE-GGA) data for MnCr2Cd after structural relaxation, as listed in the Alexandria database.

Computed properties:
* formation enthalpy at 0 K: 11.52 kcal/mol of atoms
* electronic total energy: -54.666 eV for the cell shown

Cell lengths 9.0983, 2.8886, 4.5635 Å; angles 90.00, 107.79, 90.00 degrees
Last column: nearest neighbours and their distance in Å.
Fractional positions:
Mn: 0.0000 0.0000 0.0000  4 Cr 2.46, 4 Cd 2.70
Mn: 0.5000 0.5000 0.0000  4 Cr 2.46, 4 Cd 2.70
Cr: 0.2294 0.5000 0.1701  2 Cr 2.23, 2 Mn 2.46
Cr: 0.2706 0.0000 0.8299  2 Cr 2.23, 2 Mn 2.46
Cr: 0.7294 0.0000 0.1701  2 Cr 2.23, 2 Mn 2.46
Cr: 0.7706 0.5000 0.8299  2 Cr 2.23, 2 Mn 2.46
Cd: 0.0000 0.5000 0.5000  4 Mn 2.70, 6 Cr 2.85-2.92, 2 Cd 2.89
Cd: 0.5000 0.0000 0.5000  4 Mn 2.70, 6 Cr 2.85-2.92, 2 Cd 2.89

No. 2
First-principles (PBE-GGA) data for MnCr2Cd after structural relaxation, as listed in the Alexandria database.

Computed properties:
* formation enthalpy at 0 K: 10.06 kcal/mol of atoms
* electronic total energy: -55.172 eV for the cell shown

Cell lengths 3.0438, 4.2453, 8.5022 Å; angles 90.00, 90.00, 90.00 degrees
Last column: nearest neighbours and their distance in Å.
Fractional positions:
Mn: 0.0000 0.0000 0.0000  4 Cr 2.38, 4 Mn 2.61
Mn: 0.5000 0.5000 0.0000  4 Cr 2.38, 4 Mn 2.61
Cr: 0.0000 0.5000 0.2151  2 Mn 2.38, 4 Cr 2.61
Cr: 0.0000 0.5000 0.7849  2 Mn 2.38, 4 Cr 2.61
Cr: 0.5000 0.0000 0.2151  2 Mn 2.38, 4 Cr 2.61
Cr: 0.5000 0.0000 0.7849  2 Mn 2.38, 4 Cr 2.61
Cd: 0.0000 0.0000 0.5000  4 Cd 2.61, 4 Cr 2.86
Cd: 0.5000 0.5000 0.5000  4 Cd 2.61, 4 Cr 2.86

No. 3
First-principles (PBE-GGA) data for MnCrCd2 after structural relaxation, as listed in the Alexandria database.

Computed properties:
* formation enthalpy at 0 K: 11.29 kcal/mol of atoms
* electronic total energy: -37.328 eV for the cell shown
* offset from the most stable computed form: 296 meV/atom

Cell lengths 4.1807, 4.1807, 8.4558 Å; angles 90.00, 90.00, 90.00 degrees
Last column: nearest neighbours and their distance in Å.
Fractional positions:
Mn: 0.0000 0.0000 0.0000  8 Cd 2.96-2.97, 4 Cr 2.97
Mn: 0.5000 0.5000 0.5000  8 Cd 2.96-2.97, 4 Cr 2.97
Cr: 0.0000 0.5000 0.2500  8 Cd 2.96-2.97, 4 Mn 2.97
Cr: 0.5000 0.0000 0.7500  8 Cd 2.96-2.97, 4 Mn 2.97
Cd: 0.0000 0.0000 0.5000  4 Mn 2.96, 4 Cd 2.97, 4 Cr 2.97
Cd: 0.0000 0.5000 0.7500  4 Cr 2.96, 4 Mn 2.97, 4 Cd 2.97
Cd: 0.5000 0.0000 0.2500  4 Cr 2.96, 4 Mn 2.97, 4 Cd 2.97
Cd: 0.5000 0.5000 0.0000  4 Mn 2.96, 4 Cd 2.97, 4 Cr 2.97

No. 4
First-principles (PBE-GGA) data for MnCr2Cd after structural relaxation, as listed in the Alexandria database.

Computed properties:
* formation enthalpy at 0 K: 10.68 kcal/mol of atoms
* electronic total energy: -82.438 eV for the cell shown

Cell lengths 2.8817, 2.8817, 25.4439 Å; angles 90.00, 90.00, 120.00 degrees
Last column: nearest neighbours and their distance in Å.
Fractional positions:
Mn: 0.0000 0.0000 0.0000  6 Cr 2.44
Mn: 0.3333 0.6667 0.6667  6 Cr 2.44
Mn: 0.6667 0.3333 0.3333  6 Cr 2.44
Cr: 0.0000 0.0000 0.2633  3 Mn 2.44
Cr: 0.0000 0.0000 0.7367  3 Mn 2.44
Cr: 0.3333 0.6667 0.4034  3 Mn 2.44
Cr: 0.3333 0.6667 0.9300  3 Mn 2.44
Cr: 0.6667 0.3333 0.0700  3 Mn 2.44
Cr: 0.6667 0.3333 0.5966  3 Mn 2.44
Cd: 0.0000 0.0000 0.5000  6 Cd 2.88, 6 Cr 2.97
Cd: 0.3333 0.6667 0.1667  6 Cd 2.88, 6 Cr 2.97
Cd: 0.6667 0.3333 0.8333  6 Cd 2.88, 6 Cr 2.97

No. 5
First-principles (PBE-GGA) data for MnCrCd2 after structural relaxation, as listed in the Alexandria database.

Computed properties:
* formation enthalpy at 0 K: 4.47 kcal/mol of atoms
* electronic total energy: -19.847 eV for the cell shown
* offset from the most stable computed form: 0 meV/atom

Cell lengths 3.1532, 3.1532, 6.9306 Å; angles 90.00, 90.00, 90.00 degrees
Last column: nearest neighbours and their distance in Å.
Fractional positions:
Mn: 0.0000 0.0000 0.0000  4 Cr 2.48
Cr: 0.5000 0.5000 0.8442  4 Mn 2.48
Cd: 0.0000 0.0000 0.5714  4 Cr 2.92, 1 Mn 2.97, 8 Cd 3.07-3.15
Cd: 0.5000 0.5000 0.2678  4 Mn 2.90, 1 Cr 2.94, 8 Cd 3.07-3.15

No. 6
First-principles (PBE-GGA) data for MnCr2Cd after structural relaxation, as listed in the Alexandria database.

Computed properties:
* formation enthalpy at 0 K: 11.94 kcal/mol of atoms
* electronic total energy: -54.520 eV for the cell shown

Cell lengths 2.9609, 4.3261, 8.5838 Å; angles 90.00, 90.00, 90.00 degrees
Last column: nearest neighbours and their distance in Å.
Fractional positions:
Mn: 0.0000 0.0000 0.0000  4 Cr 2.46, 4 Cd 2.62
Mn: 0.5000 0.5000 0.5000  4 Cr 2.46, 4 Cd 2.62
Cr: 0.0000 0.5000 0.2711  2 Mn 2.46, 4 Cr 2.65
Cr: 0.0000 0.5000 0.7289  2 Mn 2.46, 4 Cr 2.65
Cr: 0.5000 0.0000 0.2289  2 Mn 2.46, 4 Cr 2.65
Cr: 0.5000 0.0000 0.7711  2 Mn 2.46, 4 Cr 2.65
Cd: 0.0000 0.0000 0.5000  4 Mn 2.62, 8 Cr 2.76-2.92
Cd: 0.5000 0.5000 0.0000  4 Mn 2.62, 8 Cr 2.76-2.92

No. 7
First-principles (PBE-GGA) data for MnCr3Cd after structural relaxation, as listed in the Alexandria database.

Computed properties:
* formation enthalpy at 0 K: 24.68 kcal/mol of atoms
* electronic total energy: -33.604 eV for the cell shown
* offset from the most stable computed form: 0 meV/atom

Cell lengths 4.2571, 4.2571, 4.2571 Å; angles 90.00, 90.00, 90.00 degrees
Last column: nearest neighbours and their distance in Å.
Fractional positions:
Mn: 0.0000 0.0000 0.0000  6 Cr 2.13
Cr: 0.0000 0.0000 0.5000  2 Mn 2.13
Cr: 0.0000 0.5000 0.0000  2 Mn 2.13
Cr: 0.5000 0.0000 0.0000  2 Mn 2.13
Cd: 0.5000 0.5000 0.5000  12 Cr 3.01

No. 8
First-principles (PBE-GGA) data for Mn2CrCd after structural relaxation, as listed in the Alexandria database.

Computed properties:
* formation enthalpy at 0 K: 9.32 kcal/mol of atoms
* electronic total energy: -109.047 eV for the cell shown

Cell lengths 6.3302, 6.3302, 6.3302 Å; angles 90.00, 90.00, 90.00 degrees
Last column: nearest neighbours and their distance in Å.
Fractional positions:
Mn: 0.0000 0.0000 0.0000  4 Cr 2.74, 4 Mn 2.74
Mn: 0.0000 0.5000 0.5000  4 Cr 2.74, 4 Mn 2.74
Mn: 0.2500 0.2500 0.2500  4 Cd 2.74, 4 Mn 2.74
Mn: 0.2500 0.7500 0.7500  4 Cd 2.74, 4 Mn 2.74
Mn: 0.5000 0.0000 0.5000  4 Cr 2.74, 4 Mn 2.74
Mn: 0.5000 0.5000 0.0000  4 Cr 2.74, 4 Mn 2.74
Mn: 0.7500 0.2500 0.7500  4 Cd 2.74, 4 Mn 2.74
Mn: 0.7500 0.7500 0.2500  4 Cd 2.74, 4 Mn 2.74
Cr: 0.2500 0.2500 0.7500  4 Cd 2.74, 4 Mn 2.74
Cr: 0.2500 0.7500 0.2500  4 Cd 2.74, 4 Mn 2.74
Cr: 0.7500 0.2500 0.2500  4 Cd 2.74, 4 Mn 2.74
Cr: 0.7500 0.7500 0.7500  4 Mn 2.74, 4 Cd 2.74
Cd: 0.0000 0.0000 0.5000  4 Cr 2.74, 4 Mn 2.74
Cd: 0.0000 0.5000 0.0000  4 Cr 2.74, 4 Mn 2.74
Cd: 0.5000 0.0000 0.0000  4 Cr 2.74, 4 Mn 2.74
Cd: 0.5000 0.5000 0.5000  4 Mn 2.74, 4 Cr 2.74

No. 9
First-principles (PBE-GGA) data for Mn2CrCd after structural relaxation, as listed in the Alexandria database.

Computed properties:
* formation enthalpy at 0 K: 8.18 kcal/mol of atoms
* electronic total energy: -82.379 eV for the cell shown

Cell lengths 2.8833, 2.8833, 25.4058 Å; angles 90.00, 90.00, 120.00 degrees
Last column: nearest neighbours and their distance in Å.
Fractional positions:
Mn: 0.0000 0.0000 0.2381  3 Cr 2.46
Mn: 0.0000 0.0000 0.7619  3 Cr 2.46
Mn: 0.3333 0.6667 0.4286  3 Cr 2.46
Mn: 0.3333 0.6667 0.9047  3 Cr 2.46
Mn: 0.6667 0.3333 0.0953  3 Cr 2.46
Mn: 0.6667 0.3333 0.5714  3 Cr 2.46
Cr: 0.0000 0.0000 0.5000  6 Mn 2.46
Cr: 0.3333 0.6667 0.1667  6 Mn 2.46
Cr: 0.6667 0.3333 0.8333  6 Mn 2.46
Cd: 0.0000 0.0000 0.0000  6 Cd 2.88, 6 Mn 2.94
Cd: 0.3333 0.6667 0.6667  6 Cd 2.88, 6 Mn 2.94
Cd: 0.6667 0.3333 0.3333  6 Cd 2.88, 6 Mn 2.94

No. 10
First-principles (PBE-GGA) data for MnCr2Cd after structural relaxation, as listed in the Alexandria database.

Computed properties:
* formation enthalpy at 0 K: 9.51 kcal/mol of atoms
* electronic total energy: -83.043 eV for the cell shown

Cell lengths 2.8377, 2.8377, 25.1728 Å; angles 90.00, 90.00, 120.00 degrees
Last column: nearest neighbours and their distance in Å.
Fractional positions:
Mn: 0.0000 0.0000 0.0000  3 Cr 2.47
Mn: 0.3333 0.6667 0.6667  3 Cr 2.47
Mn: 0.6667 0.3333 0.3333  3 Cr 2.47
Cr: 0.0000 0.0000 0.2598  3 Cr 2.33, 3 Mn 2.47
Cr: 0.0000 0.0000 0.5271  3 Cr 2.33
Cr: 0.3333 0.6667 0.1937  3 Cr 2.33
Cr: 0.3333 0.6667 0.9264  3 Cr 2.33, 3 Mn 2.47
Cr: 0.6667 0.3333 0.5931  3 Cr 2.33, 3 Mn 2.47
Cr: 0.6667 0.3333 0.8604  3 Cr 2.33
Cd: 0.0000 0.0000 0.7628  6 Cd 2.84, 3 Mn 2.92, 3 Cr 2.95
Cd: 0.3333 0.6667 0.4294  6 Cd 2.84, 3 Mn 2.92, 3 Cr 2.95
Cd: 0.6667 0.3333 0.0961  6 Cd 2.84, 3 Mn 2.92, 3 Cr 2.95

No. 11
First-principles (PBE-GGA) data for MnCr2Cd after structural relaxation, as listed in the Alexandria database.

Computed properties:
* formation enthalpy at 0 K: 22.14 kcal/mol of atoms
* electronic total energy: -101.967 eV for the cell shown

Cell lengths 3.6606, 3.6606, 18.5340 Å; angles 90.00, 90.00, 90.00 degrees
Last column: nearest neighbours and their distance in Å.
Fractional positions:
Mn: 0.0000 0.0000 0.0000  4 Cr 2.58, 4 Cd 2.59
Mn: 0.0000 0.5000 0.2500  4 Cr 2.58, 4 Cd 2.59
Mn: 0.5000 0.0000 0.7500  4 Cr 2.58, 4 Cd 2.59
Mn: 0.5000 0.5000 0.5000  4 Cr 2.58, 4 Cd 2.59
Cr: 0.1829 0.2500 0.1250  2 Cr 2.27
Cr: 0.2500 0.6829 0.3750  2 Cr 2.27
Cr: 0.2500 0.8171 0.8750  2 Cr 2.27
Cr: 0.3171 0.2500 0.6250  2 Cr 2.27
Cr: 0.6829 0.7500 0.6250  2 Cr 2.27
Cr: 0.7500 0.1829 0.8750  2 Cr 2.27
Cr: 0.7500 0.3171 0.3750  2 Cr 2.27
Cr: 0.8171 0.7500 0.1250  2 Cr 2.27
Cd: 0.0000 0.0000 0.5000  4 Mn 2.59, 4 Cr 2.75
Cd: 0.0000 0.5000 0.7500  4 Mn 2.59, 4 Cr 2.75
Cd: 0.5000 0.0000 0.2500  4 Mn 2.59, 4 Cr 2.75
Cd: 0.5000 0.5000 0.0000  4 Mn 2.59, 4 Cr 2.75

No. 12
First-principles (PBE-GGA) data for MnCrCd2N after structural relaxation, as listed in the Alexandria database.

Computed properties:
* electronic total energy: -24.683 eV for the cell shown
* uncorrected formation energy: 0.85 eV per atom

Cell lengths 4.6787, 4.6787, 3.5991 Å; angles 90.00, 90.00, 90.00 degrees
Last column: nearest neighbours and their distance in Å.
Fractional positions:
Mn: 0.0000 0.0000 0.0000  8 Cd 2.95
Cr: 0.5000 0.5000 0.0000  2 N 1.80
Cd: 0.0000 0.5000 0.5000  2 N 2.34
Cd: 0.5000 0.0000 0.5000  2 N 2.34
N: 0.5000 0.5000 0.5000  2 Cr 1.80